(1)
DFT (PBE-GGA) results for GeSbTe2Br after structural relaxation.

Geometry as POSCAR:
```
GeSbTe2Br
1.0
5.3636 0.0000 0.0000
0.0000 5.3636 0.0000
0.0000 0.0000 5.6046
Ge Sb Te Br
1 1 2 1
Cartesian
0.0000 0.0000 0.0000
0.0000 0.0000 2.8023
0.0000 2.6818 0.0000
2.6818 0.0000 0.0000
2.6818 2.6818 2.8023
```

The value obtained for the excess energy over the best structure of this formula in the dataset is 0.0000 eV/atom.

---

(2)
DFT (PBE-GGA) results for TlGeSbBr6 after structural relaxation.

Geometry as POSCAR:
```
TlGeSbBr6
1.0
7.3926 0.0000 0.0000
-3.6963 6.4022 0.0000
0.0000 0.0000 7.3477
Tl Ge Sb Br
1 1 1 6
Cartesian
0.0000 0.0000 0.0000
0.0000 4.2681 3.2971
3.6963 2.1341 3.7333
-2.2144 4.0555 1.8643
1.2914 2.4567 1.8643
2.6454 0.1508 5.2134
0.9230 6.2922 1.8643
2.5042 4.0358 5.2134
5.9393 2.2156 5.2134
```

---

(3)
DFT (PBE-GGA) results for VGe2SbBr after structural relaxation.

Geometry as POSCAR:
```
VGe2SbBr
1.0
5.2862 0.0000 0.0000
0.0000 5.2862 0.0000
0.0000 0.0000 4.5490
V Ge Sb Br
1 2 1 1
Cartesian
0.0000 0.0000 0.0000
0.0000 2.6431 2.2745
2.6431 0.0000 2.2745
2.6431 2.6431 0.0000
0.0000 0.0000 2.2745
```

---

(4)
DFT (PBE-GGA) results for YGeSb2Br after structural relaxation.

Geometry as POSCAR:
```
YGeSb2Br
1.0
5.2905 0.0000 0.0000
0.0000 5.2905 0.0000
0.0000 0.0000 5.6814
Y Ge Sb Br
1 1 2 1
Cartesian
0.0000 0.0000 0.0000
0.0000 0.0000 2.8407
0.0000 2.6453 2.8407
2.6453 0.0000 2.8407
2.6453 2.6453 0.0000
```

The value obtained for the excess energy over the best structure of this formula in the dataset is 0.0000 eV/atom.

---

(5)
DFT (PBE-GGA) results for YGeSb2Br after structural relaxation.

Geometry as POSCAR:
```
YGeSb2Br
1.0
5.8957 0.0000 0.0000
0.0000 5.8957 0.0000
0.0000 0.0000 5.3227
Y Ge Sb Br
1 1 2 1
Cartesian
0.0000 0.0000 0.0000
2.9478 2.9478 2.6614
0.0000 2.9478 0.0000
2.9478 0.0000 0.0000
0.0000 0.0000 2.6614
```

The value obtained for the excess energy over the best structure of this formula in the dataset is 0.1070 eV/atom.

---

(6)
DFT (PBE-GGA) results for ScGe3Br after structural relaxation.

Geometry as POSCAR:
```
ScGe3Br
1.0
5.0921 0.0000 0.0000
0.0000 5.0921 0.0000
0.0000 0.0000 5.0921
Sc Ge Br
1 3 1
Cartesian
0.0000 0.0000 0.0000
0.0000 2.5460 2.5460
2.5460 0.0000 2.5460
2.5460 2.5460 0.0000
2.5460 2.5460 2.5460
```

The value obtained for the excess energy over the best structure of this formula in the dataset is 0.2401 eV/atom.

---

(7)
DFT (PBE-GGA) results for ScGeBr2 after structural relaxation.

Geometry as POSCAR:
```
ScGeBr2
1.0
7.0765 0.0000 0.0000
0.0000 7.0765 0.0000
0.0000 0.0000 7.0765
Sc Ge Br
4 4 8
Cartesian
0.0000 0.0000 0.0000
0.0000 3.5383 3.5383
3.5383 0.0000 3.5383
3.5383 3.5383 0.0000
0.0000 0.0000 3.5383
0.0000 3.5383 0.0000
3.5383 0.0000 0.0000
3.5383 3.5383 3.5383
1.7691 1.7691 1.7691
1.7691 1.7691 5.3074
1.7691 5.3074 1.7691
1.7691 5.3074 5.3074
5.3074 1.7691 1.7691
5.3074 1.7691 5.3074
5.3074 5.3074 1.7691
5.3074 5.3074 5.3074
```

The value obtained for the excess energy over the best structure of this formula in the dataset is 0.2801 eV/atom.

---

(8)
DFT (PBE-GGA) results for Sc3GeBr after structural relaxation.

Geometry as POSCAR:
```
Sc3GeBr
1.0
5.1629 0.0000 0.0000
0.0000 5.1629 0.0000
0.0000 0.0000 5.1629
Sc Ge Br
3 1 1
Cartesian
0.0000 0.0000 2.5815
0.0000 2.5815 0.0000
2.5815 0.0000 0.0000
0.0000 0.0000 0.0000
2.5815 2.5815 2.5815
```

The value obtained for the excess energy over the best structure of this formula in the dataset is 0.0000 eV/atom.

---

no.,total magnetic moment (μB per atom),D(E_F) (states/eV/atom),E_form (uncorrected) (eV per atom)
1,0.000,1.080,0.483
2,0.000,0.000,-0.654
3,0.088,1.348,1.050
4,0.000,0.565,0.045
5,0.000,0.932,0.152
6,0.000,1.082,0.739
7,0.000,0.762,-0.293
8,0.001,1.887,-0.085